First-principles (PBE) data for crystalline Be2OsRh at its relaxed geometry, as listed in Alexandria.

POSCAR file:
```
Be2OsRh
1.0
0.000 2.883 2.883
2.883 0.000 2.883
2.883 2.883 0.000
Be Os Rh
2 1 1
direct
0.000 0.000 0.000
0.250 0.250 0.250
0.500 0.500 0.500
0.750 0.750 0.750
```

Summary:
Polymorph energy (0 for the lowest one): 174 kJ/mol of formula units
E: -6.37 eV/atom
Energy of formation from the pure elements: 143 meV per atom


First-principles (PBE) data for crystalline BeOsRh3 at its relaxed geometry, as listed in Alexandria.

POSCAR file:
```
BeOsRh3
1.0
4.074 0.000 0.000
0.000 4.074 0.000
0.000 0.000 4.074
Be Os Rh
1 1 3
direct
0.000 0.000 0.000
0.500 0.500 0.500
0.000 0.000 0.500
0.000 0.500 0.000
0.500 0.000 0.000
```

Summary:
Polymorph energy (0 for the lowest one): 0 kJ/mol of formula units
E: -6.91 eV/atom
Energy of formation from the pure elements: 488 meV per atom


First-principles (PBE) data for crystalline BeOsRh2 at its relaxed geometry, as listed in Alexandria.

POSCAR file:
```
BeOsRh2
1.0
1.367 0.789 7.982
-1.367 0.789 7.982
0.000 -1.578 7.982
Be Os Rh
1 1 2
direct
0.000 0.000 0.000
0.500 0.500 0.500
0.258 0.258 0.258
0.742 0.742 0.742
```

Summary:
E: -7.48 eV/atom
Energy of formation from the pure elements: -65 meV per atom


First-principles (PBE) data for crystalline BeOsRh2 at its relaxed geometry, as listed in Alexandria.

POSCAR file:
```
BeOsRh2
1.0
2.717 0.000 0.000
0.000 3.865 0.000
-1.302 0.000 4.986
Be Os Rh
1 1 2
direct
0.000 0.000 0.000
0.190 0.500 0.302
0.459 0.500 0.847
0.803 0.000 0.528
```

Summary:
E: -7.46 eV/atom
Energy of formation from the pure elements: -47 meV per atom


First-principles (PBE) data for crystalline Be2OsRh at its relaxed geometry, as listed in Alexandria.

POSCAR file:
```
Be2OsRh
1.0
0.000 2.796 2.796
2.796 0.000 2.796
2.796 2.796 0.000
Be Os Rh
2 1 1
direct
0.250 0.250 0.250
0.750 0.750 0.750
0.000 0.000 0.000
0.500 0.500 0.500
```

Summary:
Polymorph energy (0 for the lowest one): 20 kJ/mol of formula units
E: -6.76 eV/atom
Energy of formation from the pure elements: -255 meV per atom


First-principles (PBE) data for crystalline BeVOsRh at its relaxed geometry, as listed in Alexandria.

POSCAR file:
```
BeVOsRh
1.0
2.938 0.000 0.000
0.000 2.938 0.000
0.000 0.000 5.771
Be V Os Rh
1 1 1 1
direct
0.000 0.000 0.000
0.000 0.000 0.515
0.500 0.500 0.763
0.500 0.500 0.234
```

Summary:
E: -8.30 eV/atom
Energy of formation from the pure elements: -440 meV per atom


First-principles (PBE) data for crystalline Be2OsRu2 at its relaxed geometry, as listed in Alexandria.

POSCAR file:
```
Be2OsRu2
1.0
6.308 0.000 0.000
0.000 6.308 0.000
0.000 0.000 2.867
Be Os Ru
4 2 4
direct
0.126 0.374 0.000
0.374 0.874 0.000
0.626 0.126 0.000
0.874 0.626 0.000
0.000 0.000 0.000
0.500 0.500 0.000
0.167 0.667 0.500
0.333 0.167 0.500
0.667 0.833 0.500
0.833 0.333 0.500
```

Summary:
E: -7.62 eV/atom
Energy of formation from the pure elements: -171 meV per atom


First-principles (PBE) data for crystalline BeOsRu3 at its relaxed geometry, as listed in Alexandria.

POSCAR file:
```
BeOsRu3
1.0
4.047 0.000 0.000
0.000 4.047 0.000
0.000 0.000 4.047
Be Os Ru
1 1 3
direct
0.000 0.000 0.000
0.500 0.500 0.500
0.000 0.000 0.500
0.000 0.500 0.000
0.500 0.000 0.000
```

Summary:
E: -7.97 eV/atom
Energy of formation from the pure elements: 585 meV per atom


First-principles (PBE) data for crystalline BeOs3Ru at its relaxed geometry, as listed in Alexandria.

POSCAR file:
```
BeOs3Ru
1.0
4.636 0.000 0.000
0.000 4.636 0.000
0.000 0.000 4.636
Be Os Ru
1 3 1
direct
0.000 0.000 0.000
0.000 0.500 0.500
0.500 0.000 0.500
0.500 0.500 0.000
0.500 0.500 0.500
```

Summary:
Polymorph energy (0 for the lowest one): 905 kJ/mol of formula units
E: -6.75 eV/atom
Energy of formation from the pure elements: 2591 meV per atom


First-principles (PBE) data for crystalline BeOs4Ru at its relaxed geometry, as listed in Alexandria.

POSCAR file:
```
BeOs4Ru
1.0
0.000 3.590 3.590
3.590 0.000 3.590
3.590 3.590 0.000
Be Os Ru
1 4 1
direct
0.000 0.000 0.000
0.375 0.375 0.375
0.375 0.375 0.875
0.375 0.875 0.375
0.875 0.375 0.375
0.750 0.750 0.750
```

Summary:
E: -8.74 eV/atom
Energy of formation from the pure elements: 915 meV per atom


First-principles (PBE) data for crystalline Be4OsRu at its relaxed geometry, as listed in Alexandria.

POSCAR file:
```
Be4OsRu
1.0
0.000 3.072 3.072
3.072 0.000 3.072
3.072 3.072 0.000
Be Os Ru
4 1 1
direct
0.125 0.125 0.125
0.125 0.125 0.626
0.125 0.626 0.125
0.626 0.125 0.125
0.750 0.750 0.750
0.500 0.500 0.500
```

Summary:
E: -6.21 eV/atom
Energy of formation from the pure elements: -313 meV per atom


First-principles (PBE) data for crystalline BeOs3Ru at its relaxed geometry, as listed in Alexandria.

POSCAR file:
```
BeOs3Ru
1.0
4.072 0.000 0.000
0.000 4.072 0.000
0.000 0.000 4.072
Be Os Ru
1 3 1
direct
0.000 0.000 0.000
0.000 0.000 0.500
0.000 0.500 0.000
0.500 0.000 0.000
0.500 0.500 0.500
```

Summary:
Polymorph energy (0 for the lowest one): 0 kJ/mol of formula units
E: -8.62 eV/atom
Energy of formation from the pure elements: 714 meV per atom